Entry 1:
Material: PmIrNO
Method: DFT, GGA-PBE
State: optimized geometry

Unit cell a=5.036 b=5.036 c=4.376 alpha=90.00 beta=90.00 gamma=90.00
Fractional coordinates of all 8 atoms:
Ir 0.250 0.250 0.000
Ir 0.750 0.750 0.000
Pm 0.250 0.750 0.500
Pm 0.750 0.250 0.500
N 0.750 0.750 0.500
N 0.250 0.250 0.500
O 0.750 0.250 0.000
O 0.250 0.750 0.000

## Properties
uncorrected energy: -7.326 eV per atom
distance to the lowest polymorph of the same formula: 835 meV per atom

---

Entry 2:
Material: PmIrNO
Method: DFT, GGA-PBE
State: optimized geometry

Unit cell a=3.999 b=3.999 c=7.474 alpha=90.00 beta=90.00 gamma=89.98
Fractional coordinates of all 8 atoms:
O 0.750 0.250 0.000
O 0.250 0.750 0.000
Pm 0.250 0.250 0.154
Pm 0.750 0.750 0.846
Ir 0.250 0.750 0.500
Ir 0.750 0.250 0.500
N 0.750 0.750 0.406
N 0.250 0.250 0.594

## Properties
uncorrected energy: -7.872 eV per atom
distance to the lowest polymorph of the same formula: 289 meV per atom

---

Entry 3:
Material: PmIrNO
Method: DFT, GGA-PBE
State: optimized geometry

Unit cell a=3.739 b=5.232 c=5.589 alpha=90.00 beta=90.00 gamma=90.00
Fractional coordinates of all 8 atoms:
O 0.500 0.251 0.021
O 0.500 0.751 0.979
N 0.000 0.998 0.340
N 0.000 0.498 0.660
Ir 0.500 0.002 0.359
Ir 0.500 0.502 0.641
Pm 0.000 0.004 0.804
Pm 0.000 0.504 0.196

## Properties
uncorrected energy: -7.889 eV per atom
distance to the lowest polymorph of the same formula: 272 meV per atom

---

Entry 4:
Material: PmIrNO
Method: DFT, GGA-PBE
State: optimized geometry

Unit cell a=5.590 b=8.074 c=5.323 alpha=90.00 beta=90.00 gamma=90.00
Fractional coordinates of all 16 atoms:
O 0.250 0.517 0.607
O 0.250 0.517 0.107
O 0.750 0.483 0.607
O 0.750 0.483 0.107
Ir 0.419 0.025 0.534
Ir 0.081 0.025 0.034
Ir 0.919 0.975 0.534
Ir 0.581 0.975 0.034
N 0.134 0.144 0.702
N 0.634 0.856 0.702
N 0.366 0.144 0.202
N 0.866 0.856 0.202
Pm 0.520 0.649 0.360
Pm 0.020 0.351 0.360
Pm 0.480 0.351 0.860
Pm 0.980 0.649 0.860

## Properties
uncorrected energy: -8.161 eV per atom
distance to the lowest polymorph of the same formula: 0 meV per atom

---

Entry 5:
Material: PmIrNO
Method: DFT, GGA-PBE
State: optimized geometry

Unit cell a=4.264 b=4.793 c=6.685 alpha=90.00 beta=90.00 gamma=90.00
Fractional coordinates of all 8 atoms:
O 0.500 0.458 0.132
O 0.500 0.958 0.868
Pm 0.500 0.484 0.798
Pm 0.500 0.984 0.202
Ir 0.000 0.470 0.417
Ir 0.000 0.970 0.583
N 0.000 0.341 0.685
N 0.000 0.841 0.315

## Properties
uncorrected energy: -7.725 eV per atom
distance to the lowest polymorph of the same formula: 435 meV per atom

---

Entry 6:
Material: PmIrNO
Method: DFT, GGA-PBE
State: optimized geometry

Unit cell a=5.042 b=5.042 c=4.373 alpha=90.00 beta=90.00 gamma=90.00
Fractional coordinates of all 8 atoms:
O 0.000 0.000 0.000
O 0.500 0.500 0.000
Ir 0.500 0.000 0.996
Ir 0.000 0.500 0.004
Pm 0.500 0.500 0.500
Pm 0.000 0.000 0.500
N 0.500 0.000 0.496
N 0.000 0.500 0.504

## Properties
uncorrected energy: -7.326 eV per atom
distance to the lowest polymorph of the same formula: 835 meV per atom

---

Entry 7:
Material: SbIrNO
Method: DFT, GGA-PBE
State: optimized geometry

Unit cell a=3.934 b=3.934 c=7.329 alpha=90.00 beta=90.00 gamma=90.00
Fractional coordinates of all 8 atoms:
N 0.500 0.000 0.396
N 0.000 0.500 0.604
Ir 0.000 0.000 0.500
Ir 0.500 0.500 0.500
O 0.000 0.000 0.000
O 0.500 0.500 0.000
Sb 0.500 0.000 0.841
Sb 0.000 0.500 0.159

## Properties
uncorrected energy: -6.372 eV per atom
distance to the lowest polymorph of the same formula: 265 meV per atom

---

Entry 8:
Material: SbIrNO
Method: DFT, GGA-PBE
State: optimized geometry

Unit cell a=4.451 b=4.451 c=5.140 alpha=90.00 beta=90.00 gamma=90.00
Fractional coordinates of all 8 atoms:
N 0.500 0.000 0.323
N 0.000 0.500 0.677
Ir 0.000 0.500 0.065
Ir 0.500 0.000 0.935
Sb 0.500 0.500 0.500
Sb 0.000 0.000 0.500
O 0.000 0.000 0.000
O 0.500 0.500 0.000

## Properties
uncorrected energy: -5.899 eV per atom
distance to the lowest polymorph of the same formula: 739 meV per atom